Record 1
TeNCl2: relaxed, PBE.

Geometry as POSCAR:
```
TeNCl2
1.0
1.7355 1.0020 8.7365
-1.7355 1.0020 8.7365
0.0000 -2.0040 8.7365
Te N Cl
1 1 2
Cartesian
0.0000 0.0000 0.0000
0.0000 0.0000 13.1048
0.0000 0.0000 11.1456
0.0000 0.0000 15.0639
```

M_tot = 0.360 μB per atom
theoretical density = 3.9 g/cm3
Fermi-level density of states = 2.3 states/eV per cell
distance to the lowest polymorph of the same formula = 2.569 eV per formula unit

=====

Record 2
TeNCl3: relaxed, PBE.

Geometry as POSCAR:
```
TeNCl3
1.0
5.3549 0.0000 0.0000
0.0108 8.3922 0.0000
2.5866 0.7977 7.9857
Te N Cl
2 2 6
Cartesian
1.2918 2.5021 3.9563
6.6604 6.6879 4.0293
3.9644 2.9980 7.5106
3.9878 6.1919 0.4750
1.2943 4.3803 2.2598
1.3090 8.5037 2.2777
3.9817 6.7004 4.0618
3.9706 2.4896 3.9239
6.6432 0.6862 5.7080
6.6579 4.8096 5.7259
```

M_tot = 0.598 μB per atom
theoretical density = 2.3 g/cm3
Fermi-level density of states = 3.2 states/eV per cell
distance to the lowest polymorph of the same formula = 0.000 eV per formula unit

=====

Record 3
Te2N2Cl: relaxed, PBE.

Geometry as POSCAR:
```
Te2N2Cl
1.0
4.6931 0.0000 0.0000
0.0000 4.6931 0.0000
0.0000 0.0000 3.9842
Te N Cl
2 2 1
Cartesian
0.0000 2.3466 0.0000
2.3466 0.0000 0.0000
0.0000 0.0000 0.0000
0.0000 0.0000 1.9921
2.3466 2.3466 1.9921
```

M_tot = 0.000 μB per atom
theoretical density = 6.0 g/cm3
Fermi-level density of states = 2.9 states/eV per cell
distance to the lowest polymorph of the same formula = 5.377 eV per formula unit

=====

Record 4
TiTe2NCl: relaxed, PBE.

Geometry as POSCAR:
```
TiTe2NCl
1.0
5.6332 0.0000 0.0000
0.0000 5.6332 0.0000
0.0000 0.0000 3.3684
Ti Te N Cl
1 2 1 1
Cartesian
0.0000 0.0000 0.0000
0.0000 2.8166 1.6842
2.8166 0.0000 1.6842
2.8166 2.8166 0.0000
2.8166 2.8166 1.6842
```

M_tot = 0.000 μB per atom
theoretical density = 5.5 g/cm3
Fermi-level density of states = 5.9 states/eV per cell
distance to the lowest polymorph of the same formula = 5.977 eV per formula unit

=====

Record 5
TiTe2NCl: relaxed, PBE.

Geometry as POSCAR:
```
TiTe2NCl
1.0
5.5751 0.0000 0.0000
0.0000 5.5751 0.0000
0.0000 0.0000 3.7344
Ti Te N Cl
1 2 1 1
Cartesian
0.0000 0.0000 0.0000
0.0000 2.7876 0.0000
2.7876 0.0000 0.0000
0.0000 0.0000 1.8672
2.7876 2.7876 1.8672
```

M_tot = 0.000 μB per atom
theoretical density = 5.0 g/cm3
Fermi-level density of states = 5.6 states/eV per cell
distance to the lowest polymorph of the same formula = 0.000 eV per formula unit

=====

Record 6
TiTeN2Cl: relaxed, PBE.

Geometry as POSCAR:
```
TiTeN2Cl
1.0
3.9232 0.0000 0.0000
0.0000 3.9232 0.0000
0.0000 0.0000 5.9238
Ti Te N Cl
1 1 2 1
Cartesian
0.0000 0.0000 0.0000
0.0000 0.0000 2.9619
0.0000 1.9616 0.0000
1.9616 0.0000 0.0000
1.9616 1.9616 2.9619
```

M_tot = 0.000 μB per atom
theoretical density = 4.4 g/cm3
Fermi-level density of states = 2.6 states/eV per cell
distance to the lowest polymorph of the same formula = 0.000 eV per formula unit

=====

Q: Number 1 is which compound?
A: TeNCl2

=====

Q: What is the formula in the third record?
A: Te2N2Cl

=====

Q: Which of these has the highest distance to the lowest polymorph of the same formula?
A: number 4